No. 1
First-principles (PBE) data for a geometry-optimized ErHgBi structure, as listed in Alexandria.

Lattice parameters (Å, degrees): 5.1541 5.1541 5.1541 60.00 60.00 60.00
Positions (direct):
Er: 0.0000 0.0000 0.0000
Hg: 0.2500 0.2500 0.2500
Bi: 0.7500 0.7500 0.7500

Output
Crystal system ... cubic
Magnetic moment ... 0.0 μB per formula unit
Space group ... F-43m (216)
Formation energy ... -116 kJ/mol of formula units

No. 2
First-principles (PBE) data for a geometry-optimized Er4HgBi structure, as listed in Alexandria.

Lattice parameters (Å, degrees): 7.8371 7.8371 6.4897 99.67 99.67 113.41
Positions (direct):
Er: 0.0954 0.7163 0.9466
Er: 0.2020 0.3964 0.5956
Er: 0.2837 0.9046 0.5534
Er: 0.3964 0.2020 0.0956
Er: 0.6036 0.7980 0.9044
Er: 0.7163 0.0954 0.4466
Er: 0.7980 0.6036 0.4044
Er: 0.9046 0.2837 0.0534
Hg: 0.0057 0.9943 0.2500
Hg: 0.9943 0.0057 0.7500
Bi: 0.3890 0.6110 0.2500
Bi: 0.6110 0.3890 0.7500

Output
Crystal system ... monoclinic
DOS at the Fermi energy ... 14.26 states/eV per cell
Magnetic moment ... 0.0 μB per formula unit
Space group ... C2/c (15)
Formation energy ... -208 kJ/mol of formula units

Please write out number 2 again, unchanged.
First-principles (PBE) data for a geometry-optimized Er4HgBi structure, as listed in Alexandria.

Lattice parameters (Å, degrees): 7.8371 7.8371 6.4897 99.67 99.67 113.41
Positions (direct):
Er: 0.0954 0.7163 0.9466
Er: 0.2020 0.3964 0.5956
Er: 0.2837 0.9046 0.5534
Er: 0.3964 0.2020 0.0956
Er: 0.6036 0.7980 0.9044
Er: 0.7163 0.0954 0.4466
Er: 0.7980 0.6036 0.4044
Er: 0.9046 0.2837 0.0534
Hg: 0.0057 0.9943 0.2500
Hg: 0.9943 0.0057 0.7500
Bi: 0.3890 0.6110 0.2500
Bi: 0.6110 0.3890 0.7500

Output
Crystal system ... monoclinic
DOS at the Fermi energy ... 14.26 states/eV per cell
Magnetic moment ... 0.0 μB per formula unit
Space group ... C2/c (15)
Formation energy ... -208 kJ/mol of formula units